Na2TiCoO4: relaxed, PBE with a Hubbard U.

Output
As for the total energy: -6.506 eV per atom. The mass density comes out at 3.19 Mg/m³. The total magnetization comes out at 3.00 μB per formula unit.

POSCAR file:
```
Na2TiCoO4
1.0
-2.601 2.601 4.168
2.601 -2.601 4.168
2.601 2.601 -4.168
Na Ti Co O
2 1 1 4
Cartesian
0.000 0.000 0.000
0.000 2.601 2.084
0.000 0.000 4.168
2.601 0.000 2.084
1.380 1.668 -1.012
3.535 1.380 1.012
1.222 0.933 3.156
-0.933 1.222 5.181
```